(1)
# TcOsPt2 PBE optimized geometry
data_TcOsPt2
_symmetry_space_group_name_H-M 'P 1 m 1'
_symmetry_Int_Tables_number 6
_cell_length_a 2.750
_cell_length_b 3.899
_cell_length_c 5.585
_cell_angle_alpha 90.00
_cell_angle_beta 90.01
_cell_angle_gamma 90.00
loop_
_symmetry_equiv_pos_as_xyz
'x,y,z'
'x,-y,z'
loop_
_atom_site_label
_atom_site_fract_x
_atom_site_fract_y
_atom_site_fract_z
Tc1 0.000 0.000 0.000
Os1 0.502 0.500 0.223
Pt1 0.001 0.000 0.480
Pt2 0.501 0.500 0.742
# * E_form: -0.047 eV/atom
# * E: -33.865 eV for the cell shown
# * offset from the most stable computed form: 0.178 eV per formula unit

---

(2)
# TcOsPt PBE optimized geometry
data_TcOsPt
_symmetry_space_group_name_H-M 'R 3 m'
_symmetry_Int_Tables_number 160
_symmetry_space_group_name_Hall 'R 3 -2"'
_cell_length_a 2.7760
_cell_length_b 2.7760
_cell_length_c 20.0042
_cell_angle_alpha 90.00
_cell_angle_beta 90.00
_cell_angle_gamma 120.00
loop_
_atom_site_label
_atom_site_fract_x
_atom_site_fract_y
_atom_site_fract_z
Tc1 0.0000 0.0000 0.0000
Os1 0.0000 0.0000 0.5641
Pt1 0.0000 0.0000 0.7806
# * E_form: -0.070 eV/atom
# * E: -83.543 eV for the cell shown
# * offset from the most stable computed form: 0.035 eV per formula unit

---

(3)
# TcOsPt PBE optimized geometry
data_TcOsPt
_symmetry_space_group_name_H-M 'P -6 m 2'
_symmetry_Int_Tables_number 187
_symmetry_space_group_name_Hall 'P -6 2'
_cell_length_a 4.3940
_cell_length_b 4.3940
_cell_length_c 2.6965
_cell_angle_alpha 90.00
_cell_angle_beta 90.00
_cell_angle_gamma 120.00
loop_
_atom_site_label
_atom_site_fract_x
_atom_site_fract_y
_atom_site_fract_z
Tc1 0.0000 0.0000 0.0000
Os1 0.6667 0.3333 0.5000
Pt1 0.3333 0.6667 0.5000
# * E_form: 0.169 eV/atom
# * E: -27.129 eV for the cell shown
# * offset from the most stable computed form: 0.753 eV per formula unit

---

(4)
# TcOsPt2 PBE optimized geometry
data_TcOsPt2
_symmetry_space_group_name_H-M 'P 4/m m m'
_symmetry_Int_Tables_number 123
_symmetry_space_group_name_Hall '-P 4 2'
_cell_length_a 3.866
_cell_length_b 3.866
_cell_length_c 3.994
_cell_angle_alpha 90.00
_cell_angle_beta 90.00
_cell_angle_gamma 90.00
loop_
_atom_site_label
_atom_site_fract_x
_atom_site_fract_y
_atom_site_fract_z
Tc1 0.000 0.000 0.000
Os1 0.500 0.500 0.000
Pt1 0.000 0.500 0.500
# * E_form: 0.073 eV/atom
# * E: -33.385 eV for the cell shown
# * offset from the most stable computed form: 0.658 eV per formula unit

---

(5)
# TcOsPt PBE optimized geometry
data_TcOsPt
_symmetry_space_group_name_H-M 'P 1 21/m 1'
_symmetry_Int_Tables_number 11
_cell_length_a 3.904
_cell_length_b 3.923
_cell_length_c 6.109
_cell_angle_alpha 90.00
_cell_angle_beta 108.70
_cell_angle_gamma 90.00
loop_
_symmetry_equiv_pos_as_xyz
'x,y,z'
'-x,-y,-z'
'-x,y+1/2,-z'
'x,-y+1/2,z'
loop_
_atom_site_label
_atom_site_fract_x
_atom_site_fract_y
_atom_site_fract_z
Tc1 0.247 0.250 0.492
Os1 0.407 0.750 0.815
Pt1 0.085 0.750 0.170
# * E_form: -0.021 eV/atom
# * E: -55.396 eV for the cell shown
# * offset from the most stable computed form: 0.184 eV per formula unit

---

(6)
# TcOsPt2 PBE optimized geometry
data_TcOsPt2
_symmetry_space_group_name_H-M 'F -4 3 m'
_symmetry_Int_Tables_number 216
_symmetry_space_group_name_Hall 'F -4 2 3'
_cell_length_a 6.274
_cell_length_b 6.274
_cell_length_c 6.274
_cell_angle_alpha 90.00
_cell_angle_beta 90.00
_cell_angle_gamma 90.00
loop_
_atom_site_label
_atom_site_fract_x
_atom_site_fract_y
_atom_site_fract_z
Tc1 0.000 0.000 0.000
Os1 0.250 0.250 0.750
Pt1 0.000 0.000 0.500
Pt2 0.250 0.250 0.250
# * E_form: 0.421 eV/atom
# * E: -127.981 eV for the cell shown
# * offset from the most stable computed form: 2.048 eV per formula unit

---

(7)
# TcOsPt PBE optimized geometry
data_TcOsPt
_symmetry_space_group_name_H-M 'C m c m'
_symmetry_Int_Tables_number 63
_symmetry_space_group_name_Hall '-C 2c 2'
_cell_length_a 3.919
_cell_length_b 11.556
_cell_length_c 3.926
_cell_angle_alpha 90.00
_cell_angle_beta 90.00
_cell_angle_gamma 90.00
loop_
_atom_site_label
_atom_site_fract_x
_atom_site_fract_y
_atom_site_fract_z
Tc1 0.000 0.095 0.250
Os1 0.000 0.254 0.750
Pt1 0.000 0.418 0.250
# * E_form: -0.039 eV/atom
# * E: -111.011 eV for the cell shown
# * offset from the most stable computed form: 0.130 eV per formula unit

---

(8)
# Tc2OsPt PBE optimized geometry
data_Tc2OsPt
_symmetry_space_group_name_H-M 'I -4 m 2'
_symmetry_Int_Tables_number 119
_symmetry_space_group_name_Hall 'I -4 -2'
_cell_length_a 3.901
_cell_length_b 3.901
_cell_length_c 7.701
_cell_angle_alpha 90.00
_cell_angle_beta 90.00
_cell_angle_gamma 90.00
loop_
_atom_site_label
_atom_site_fract_x
_atom_site_fract_y
_atom_site_fract_z
Tc1 0.000 0.000 0.000
Tc2 0.000 0.500 0.250
Os1 0.000 0.000 0.500
Pt1 0.000 0.500 0.750
# * E_form: -0.029 eV/atom
# * E: -76.234 eV for the cell shown
# * offset from the most stable computed form: 0.431 eV per formula unit

---

Which of these has the lowest E_form? number 2

---

What is the formula in the seventh record? TcOsPt

---

Repeat the eighth record exactly.
# Tc2OsPt PBE optimized geometry
data_Tc2OsPt
_symmetry_space_group_name_H-M 'I -4 m 2'
_symmetry_Int_Tables_number 119
_symmetry_space_group_name_Hall 'I -4 -2'
_cell_length_a 3.901
_cell_length_b 3.901
_cell_length_c 7.701
_cell_angle_alpha 90.00
_cell_angle_beta 90.00
_cell_angle_gamma 90.00
loop_
_atom_site_label
_atom_site_fract_x
_atom_site_fract_y
_atom_site_fract_z
Tc1 0.000 0.000 0.000
Tc2 0.000 0.500 0.250
Os1 0.000 0.000 0.500
Pt1 0.000 0.500 0.750
# * E_form: -0.029 eV/atom
# * E: -76.234 eV for the cell shown
# * offset from the most stable computed form: 0.431 eV per formula unit